Record 1
{
  "formula": "NaSrSbBr2",
  "functional": "PBE",
  "state": "relaxed",
  "cell": [[5.925, 0.000, 0.000], [0.000, 6.673, 0.000], [0.000, 0.000, 5.925]],
  "species": ["Sb", "Na", "Br", "Br", "Sr"],
  "fractional_positions": [[0.000, 0.500, 0.000], [0.500, 0.500, 0.500], [0.000, 0.000, 0.500], [0.500, 0.000, 0.000], [0.000, 0.000, 0.000]],
  "n_ef_per_ev_cell": 2.153,
  "formation_energy_uncorrected_ev_per_atom": -0.839,
  "space_group": "P4/mmm, No. 123",
  "energy_ev_per_fu": -14.7
}

Record 2
{
  "formula": "NaSr2SbBr8",
  "functional": "PBE",
  "state": "relaxed",
  "cell": [[-0.298, 7.032, 0.655], [-6.741, -0.450, 0.801], [1.133, -0.798, 9.089]],
  "species": ["Na", "Sr", "Sr", "Sb", "Br", "Br", "Br", "Br", "Br", "Br", "Br", "Br"],
  "fractional_positions": [[0.000, 0.000, 0.500], [0.500, 0.500, 0.745], [0.500, 0.500, 0.255], [0.000, 0.000, 0.000], [0.152, 0.773, 0.229], [0.666, 0.753, 0.000], [0.848, 0.227, 0.229], [0.848, 0.227, 0.771], [0.334, 0.247, 0.000], [0.152, 0.773, 0.771], [0.670, 0.735, 0.500], [0.330, 0.265, 0.500]],
  "n_ef_per_ev_cell": 0.000,
  "formation_energy_uncorrected_ev_per_atom": -1.490,
  "space_group": "P2/m, No. 10",
  "energy_ev_per_fu": -40.1
}

Record 3
{
  "formula": "Na2SrSbBr8",
  "functional": "PBE",
  "state": "relaxed",
  "cell": [[6.946, -0.294, -0.004], [-0.312, 6.963, -0.007], [0.005, 0.011, 8.941]],
  "species": ["Na", "Na", "Sr", "Sb", "Br", "Br", "Br", "Br", "Br", "Br", "Br", "Br"],
  "fractional_positions": [[0.500, 0.500, 0.742], [0.500, 0.500, 0.258], [0.000, 0.000, 0.500], [0.000, 0.000, 0.000], [0.152, 0.784, 0.219], [0.675, 0.750, 0.000], [0.848, 0.216, 0.219], [0.848, 0.216, 0.781], [0.325, 0.250, 0.000], [0.152, 0.784, 0.781], [0.640, 0.742, 0.500], [0.360, 0.258, 0.500]],
  "n_ef_per_ev_cell": 7.936,
  "formation_energy_uncorrected_ev_per_atom": -1.184,
  "space_group": "P2/m, No. 10",
  "energy_ev_per_fu": -36.0
}

Record 4
{
  "formula": "NaSb2TeBr",
  "functional": "PBE",
  "state": "relaxed",
  "cell": [[-4.107, 3.540, 1.267], [-2.730, -4.098, 2.599], [2.767, 1.387, 5.094]],
  "species": ["Sb", "Sb", "Te", "Br", "Na"],
  "fractional_positions": [[0.000, 0.500, 0.000], [0.500, 0.000, 0.000], [0.000, 0.000, 0.500], [0.000, 0.000, 0.000], [0.500, 0.500, 0.500]],
  "n_ef_per_ev_cell": 7.215,
  "de_polymorph_ev_per_atom": 0.000,
  "formation_energy_uncorrected_ev_per_atom": 0.510,
  "space_group": "P4/mmm, No. 123",
  "energy_ev_per_fu": -11.8
}